Entry 1:
Here is a relaxed PaPdAu2 crystal from the Alexandria database. Energies are from PBE.

## Properties
- Formation enthalpy at 0 K: -0.41 eV per atom
- Offset from the most stable computed form: 5.8 kJ/mol of atoms

a b c (Å): 4.853 4.853 4.853
angles (deg): 60.00 60.00 60.00
Sites, in units of the cell vectors:
Pa  0.000  0.000  0.000
Au  0.250  0.250  0.250
Au  0.750  0.750  0.750
Pd  0.500  0.500  0.500

Entry 2:
Here is a relaxed MoPtSe2 crystal from the Alexandria database. Energies are from PBE.

## Properties
- Energy relative to the elements, uncorrected: -98 meV/atom
- Offset from the most stable computed form: 3.6 kJ/mol of atoms

a b c (Å): 2.950 2.950 9.133
angles (deg): 90.00 90.00 90.00
Sites, in units of the cell vectors:
Mo  0.000  0.000  0.511
Pt  0.500  0.500  0.712
Se  0.000  0.000  0.937
Se  0.500  0.500  0.339

Entry 3:
Here is a relaxed Tc3SnGe crystal from the Alexandria database. Energies are from PBE.

## Properties
- Formation enthalpy at 0 K: 2.09 eV per atom
- Offset from the most stable computed form: 105.6 kJ/mol of atoms

a b c (Å): 4.887 4.887 4.887
angles (deg): 90.00 90.00 90.00
Last column: magnetic moment on the atom in μB.
Sites, in units of the cell vectors:
Ge  0.500  0.500  0.500  -0.05
Sn  0.000  0.000  0.000  -0.04
Tc  0.000  0.500  0.000  1.29
Tc  0.000  0.000  0.500  1.69
Tc  0.500  0.000  0.000  1.16

Entry 4:
Here is a relaxed LiMnCr2 crystal from the Alexandria database. Energies are from PBE.

## Properties
- Formation enthalpy at 0 K: 0.39 eV per atom
- Offset from the most stable computed form: 14.3 kJ/mol of atoms

a b c (Å): 2.357 2.357 8.682
angles (deg): 90.00 90.00 90.00
Last column: magnetic moment on the atom in μB.
Sites, in units of the cell vectors:
Cr  0.000  0.000  0.995  0.06
Cr  0.500  0.500  0.237  -0.07
Li  0.000  0.000  0.505  -0.02
Mn  0.500  0.500  0.762  1.19

Entry 5:
Here is a relaxed MgSb2Pt crystal from the Alexandria database. Energies are from PBE.

## Properties
- Energy relative to the elements, uncorrected: -196 meV/atom

a b c (Å): 6.785 6.785 6.785
angles (deg): 150.76 142.56 48.20
Sites, in units of the cell vectors:
Mg  0.440  0.440  0.000
Pt  0.233  0.733  0.500
Sb  0.053  0.053  0.000
Sb  0.774  0.274  0.500

Entry 6:
Here is a relaxed LaPr4Y2 crystal from the Alexandria database. Energies are from PBE.

## Properties
- Formation enthalpy at 0 K: 0.43 eV per atom
- Offset from the most stable computed form: 35.7 kJ/mol of atoms

a b c (Å): 6.131 6.316 7.318
angles (deg): 115.57 90.00 90.00
Sites, in units of the cell vectors:
La  0.000  0.500  0.000
Pr  0.500  0.636  0.271
Pr  0.000  0.802  0.605
Pr  0.500  0.364  0.729
Pr  0.000  0.198  0.395
Y  0.500  0.115  0.231
Y  0.500  0.885  0.769

Entry 7:
Here is a relaxed La23Cd4Rh7 crystal from the Alexandria database. Energies are from PBE.

## Properties
- Formation enthalpy at 0 K: -0.48 eV per atom

a b c (Å): 10.161 10.161 22.992
angles (deg): 90.00 90.00 120.00
Sites, in units of the cell vectors:
La  0.206  0.413  0.720
La  0.206  0.794  0.720
La  0.794  0.587  0.220
La  0.587  0.794  0.720
La  0.794  0.206  0.220
La  0.413  0.206  0.220
La  0.793  0.586  0.947
La  0.793  0.207  0.947
La  0.207  0.414  0.447
La  0.414  0.207  0.947
La  0.207  0.793  0.447
La  0.586  0.793  0.447
La  0.209  0.417  0.990
La  0.209  0.791  0.990
La  0.791  0.583  0.490
La  0.583  0.791  0.990
La  0.791  0.209  0.490
La  0.417  0.209  0.490
La  0.873  0.746  0.634
La  0.873  0.127  0.634
La  0.127  0.254  0.134
La  0.254  0.127  0.634
La  0.127  0.873  0.134
La  0.746  0.873  0.134
La  0.459  0.919  0.856
La  0.459  0.541  0.856
La  0.541  0.081  0.356
La  0.081  0.541  0.856
La  0.541  0.459  0.356
La  0.919  0.459  0.356
La  0.000  0.000  0.996
La  0.000  0.000  0.496
La  0.460  0.919  0.586
La  0.460  0.540  0.586
La  0.540  0.081  0.086
La  0.081  0.540  0.586
La  0.540  0.460  0.086
La  0.919  0.460  0.086
La  0.798  0.596  0.783
La  0.798  0.202  0.783
La  0.202  0.404  0.283
La  0.404  0.202  0.783
La  0.202  0.798  0.283
La  0.596  0.798  0.283
La  0.667  0.333  0.647
La  0.333  0.667  0.147
Cd  0.000  0.000  0.748
Cd  0.000  0.000  0.248
Cd  0.106  0.213  0.863
Cd  0.106  0.894  0.863
Cd  0.894  0.787  0.363
Cd  0.787  0.894  0.863
Cd  0.894  0.106  0.363
Cd  0.213  0.106  0.363
Rh  0.520  0.039  0.713
Rh  0.520  0.480  0.713
Rh  0.480  0.961  0.213
Rh  0.961  0.480  0.713
Rh  0.480  0.520  0.213
Rh  0.039  0.520  0.213
Rh  0.667  0.333  0.866
Rh  0.333  0.667  0.366
Rh  0.144  0.287  0.562
Rh  0.144  0.856  0.562
Rh  0.856  0.713  0.062
Rh  0.713  0.856  0.562
Rh  0.856  0.144  0.062
Rh  0.287  0.144  0.062

Entry 8:
Here is a relaxed Cd2CoPb crystal from the Alexandria database. Energies are from PBE.

## Properties
- Formation enthalpy at 0 K: 0.38 eV per atom

a b c (Å): 5.548 5.548 5.548
angles (deg): 136.08 136.08 63.85
Last column: magnetic moment on the atom in μB.
Sites, in units of the cell vectors:
Cd  0.000  0.000  0.000  -0.02
Cd  0.500  0.500  0.000  -0.02
Co  0.250  0.750  0.500  1.17
Pb  0.750  0.250  0.500  -0.01